Below is Be2ReTc2 at its PBEsol-relaxed geometry, with properties calculated at the SCAN level.

Unit cell a=2.9860 b=6.1624 c=6.1624 alpha=90.00 beta=90.00 gamma=90.00
Element x y z (fractional)
Re 0.0000 0.0000 0.0000
Re 0.0000 0.5000 0.5000
Tc 0.5000 0.1713 0.6713
Tc 0.5000 0.6713 0.8287
Tc 0.5000 0.8287 0.3287
Tc 0.5000 0.3287 0.1713
Be 0.0000 0.3778 0.8778
Be 0.0000 0.8778 0.6222
Be 0.0000 0.6222 0.1222
Be 0.0000 0.1222 0.3778

Summary:
- Crystal system: tetragonal
- Formation enthalpy at 0 K: -0.298 eV per atom

Below is Be3ReTc at its PBEsol-relaxed geometry, with properties calculated at the SCAN level.

Unit cell a=4.0628 b=4.0628 c=4.0628 alpha=90.00 beta=90.00 gamma=90.00
Element x y z (fractional)
Re 0.0000 0.0000 0.0000
Tc 0.5000 0.5000 0.5000
Be 0.0000 0.5000 0.0000
Be 0.0000 0.0000 0.5000
Be 0.5000 0.0000 0.0000

Summary:
- Crystal system: cubic
- Formation enthalpy at 0 K: 1.187 eV per atom

Below is Be2ReTc at its PBEsol-relaxed geometry, with properties calculated at the SCAN level.

Unit cell a=2.9057 b=2.9057 c=5.5280 alpha=90.00 beta=90.00 gamma=90.00
Element x y z (fractional)
Re 0.0000 0.0000 0.4949
Tc 0.5000 0.5000 0.7566
Be 0.0000 0.0000 0.0284
Be 0.5000 0.5000 0.2201

Summary:
- Crystal system: tetragonal
- E above lowest polymorph: 15.5 kJ/mol of atoms
- Formation enthalpy at 0 K: -0.100 eV per atom

Below is BeReTe2 at its PBEsol-relaxed geometry, with properties calculated at the SCAN level.

Unit cell a=3.3283 b=4.2146 c=6.4600 alpha=71.68 beta=75.08 gamma=66.76
Element x y z (fractional)
Re 0.5000 0.0000 0.0000
Te 0.2816 0.6785 0.7585
Te 0.7184 0.3215 0.2415
Be 0.0000 0.5000 0.5000

Summary:
- Formation energy without anion corrections: 0.665 eV/atom
- Crystal system: monoclinic

Below is BeReTe2 at its PBEsol-relaxed geometry, with properties calculated at the SCAN level.

Unit cell a=3.3330 b=4.3171 c=6.3659 alpha=98.82 beta=90.00 gamma=112.71
Element x y z (fractional)
Re 0.7547 0.5093 0.3384
Te 0.0193 0.0387 0.0983
Te 0.2509 0.5018 0.6540
Be 0.4751 0.9502 0.4094

Summary:
- Formation energy without anion corrections: 0.212 eV/atom
- Crystal system: monoclinic

Below is BeRe2Te at its PBEsol-relaxed geometry, with properties calculated at the SCAN level.

Unit cell a=3.0755 b=3.0755 c=6.2024 alpha=90.00 beta=90.00 gamma=90.00
Element x y z (fractional)
Re 0.0000 0.0000 0.6992
Re 0.0000 0.0000 0.3008
Te 0.5000 0.5000 0.0000
Be 0.5000 0.5000 0.5000

Summary:
- Formation energy without anion corrections: 0.524 eV/atom
- Crystal system: tetragonal

Below is Ti2BeRe at its PBEsol-relaxed geometry, with properties calculated at the SCAN level.

Unit cell a=4.2856 b=4.2856 c=4.2856 alpha=60.00 beta=60.00 gamma=60.00
Element x y z (fractional)
Re 0.5000 0.5000 0.5000
Ti 0.2500 0.2500 0.2500
Ti 0.7500 0.7500 0.7500
Be 0.0000 0.0000 0.0000

Summary:
- Crystal system: cubic
- Formation enthalpy at 0 K: -0.375 eV per atom

Below is Be2TlRe at its PBEsol-relaxed geometry, with properties calculated at the SCAN level.

Unit cell a=5.3434 b=5.3434 c=5.3434 alpha=104.87 beta=104.87 gamma=119.12
Element x y z (fractional)
Re 0.5000 0.5000 0.0000
Re 0.7500 0.2500 0.5000
Tl 0.0000 0.0000 0.0000
Tl 0.2500 0.7500 0.5000
Be 0.8539 0.8750 0.4789
Be 0.3961 0.3750 0.5211
Be 0.1250 0.6039 0.9789
Be 0.6250 0.1461 0.0211

Summary:
- Crystal system: tetragonal
- E above lowest polymorph: 56.0 kJ/mol of atoms
- Formation enthalpy at 0 K: 0.889 eV per atom

Below is BeTlRe2 at its PBEsol-relaxed geometry, with properties calculated at the SCAN level.

Unit cell a=3.7620 b=3.7620 c=5.0564 alpha=111.84 beta=111.84 gamma=90.00
Element x y z (fractional)
Re 0.7500 0.2500 0.5000
Re 0.2500 0.7500 0.5000
Tl 0.5000 0.5000 0.0000
Be 0.0000 0.0000 0.0000

Summary:
- Crystal system: tetragonal
- E above lowest polymorph: 9.9 kJ/mol of atoms
- Formation enthalpy at 0 K: 0.963 eV per atom

Below is Be3TlRe at its PBEsol-relaxed geometry, with properties calculated at the SCAN level.

Unit cell a=4.3193 b=4.3193 c=4.3193 alpha=90.00 beta=90.00 gamma=90.00
Element x y z (fractional)
Re 0.0000 0.0000 0.0000
Tl 0.5000 0.5000 0.5000
Be 0.0000 0.5000 0.0000
Be 0.0000 0.0000 0.5000
Be 0.5000 0.0000 0.0000

Summary:
- Crystal system: cubic
- Formation enthalpy at 0 K: 1.013 eV per atom

Below is BeTlRe2 at its PBEsol-relaxed geometry, with properties calculated at the SCAN level.

Unit cell a=3.0679 b=4.4109 c=4.4848 alpha=90.00 beta=90.00 gamma=90.00
Element x y z (fractional)
Re 0.0000 0.0000 0.0000
Re 0.5000 0.5000 0.0000
Tl 0.5000 0.0000 0.5000
Be 0.0000 0.5000 0.5000

Summary:
- Crystal system: orthorhombic
- E above lowest polymorph: 0.1 kJ/mol of atoms
- Formation enthalpy at 0 K: 0.861 eV per atom

Below is BeTlRe at its PBEsol-relaxed geometry, with properties calculated at the SCAN level.

Unit cell a=3.0968 b=3.0968 c=5.3066 alpha=106.96 beta=106.96 gamma=90.00
Element x y z (fractional)
Re 0.6251 0.6251 0.2502
Tl 0.3302 0.3302 0.6604
Be 0.0447 0.0447 0.0894

Summary:
- Crystal system: tetragonal
- Formation enthalpy at 0 K: 0.657 eV per atom

Below is Be2TlRe at its PBEsol-relaxed geometry, with properties calculated at the SCAN level.

Unit cell a=3.4977 b=3.4977 c=4.9623 alpha=110.64 beta=110.64 gamma=90.00
Element x y z (fractional)
Re 0.5000 0.5000 0.0000
Tl 0.2500 0.7500 0.5000
Be 0.0000 0.0000 0.0000
Be 0.7500 0.2500 0.5000

Summary:
- Crystal system: tetragonal
- E above lowest polymorph: 11.2 kJ/mol of atoms
- Formation enthalpy at 0 K: 0.424 eV per atom

Below is BeTlRe3 at its PBEsol-relaxed geometry, with properties calculated at the SCAN level.

Unit cell a=4.2166 b=4.2166 c=4.2166 alpha=90.00 beta=90.00 gamma=90.00
Element x y z (fractional)
Re 0.0000 0.5000 0.0000
Re 0.5000 0.0000 0.0000
Re 0.0000 0.0000 0.5000
Tl 0.5000 0.5000 0.5000
Be 0.0000 0.0000 0.0000

Summary:
- Crystal system: cubic
- Formation enthalpy at 0 K: 1.154 eV per atom

Below is Be2TlRe at its PBEsol-relaxed geometry, with properties calculated at the SCAN level.

Unit cell a=3.0928 b=3.0928 c=5.7212 alpha=90.00 beta=90.00 gamma=90.00
Element x y z (fractional)
Re 0.5000 0.5000 0.5000
Tl 0.5000 0.5000 0.0000
Be 0.0000 0.0000 0.3227
Be 0.0000 0.0000 0.6773

Summary:
- Crystal system: tetragonal
- E above lowest polymorph: 0.0 kJ/mol of atoms
- Formation enthalpy at 0 K: 0.309 eV per atom

Below is BeTlRe2 at its PBEsol-relaxed geometry, with properties calculated at the SCAN level.

Unit cell a=2.8410 b=2.8410 c=8.7099 alpha=80.61 beta=80.61 gamma=60.00
Element x y z (fractional)
Re 0.2613 0.2613 0.2160
Re 0.7387 0.7387 0.7840
Tl 0.5000 0.5000 0.5000
Be 0.0000 0.0000 0.0000

Summary:
- Crystal system: trigonal
- E above lowest polymorph: 0.0 kJ/mol of atoms
- Formation enthalpy at 0 K: 0.860 eV per atom

Below is BeTlRe2 at its PBEsol-relaxed geometry, with properties calculated at the SCAN level.

Unit cell a=3.7682 b=3.7682 c=4.2764 alpha=90.00 beta=90.00 gamma=90.00
Element x y z (fractional)
Re 0.0000 0.5000 0.0000
Re 0.5000 0.0000 0.0000
Tl 0.5000 0.5000 0.5000
Be 0.0000 0.0000 0.5000

Summary:
- Crystal system: tetragonal
- E above lowest polymorph: 8.6 kJ/mol of atoms
- Formation enthalpy at 0 K: 0.949 eV per atom

Below is Be2VRe2 at its PBEsol-relaxed geometry, with properties calculated at the SCAN level.

Unit cell a=3.1039 b=5.9827 c=5.9827 alpha=90.00 beta=90.00 gamma=90.00
Element x y z (fractional)
Re 0.5000 0.1770 0.6770
Re 0.5000 0.6770 0.8230
Re 0.5000 0.8230 0.3230
Re 0.5000 0.3230 0.1770
Be 0.0000 0.3806 0.8806
Be 0.0000 0.8806 0.6194
Be 0.0000 0.6194 0.1194
Be 0.0000 0.1194 0.3806
V 0.0000 0.0000 0.0000
V 0.0000 0.5000 0.5000

Summary:
- Crystal system: tetragonal
- Formation enthalpy at 0 K: -0.406 eV per atom

Below is Be2ReW2 at its PBEsol-relaxed geometry, with properties calculated at the SCAN level.

Unit cell a=3.1645 b=6.1481 c=6.1481 alpha=90.00 beta=90.00 gamma=90.00
Element x y z (fractional)
Re 0.0000 0.0000 0.0000
Re 0.0000 0.5000 0.5000
W 0.5000 0.1742 0.6742
W 0.5000 0.6742 0.8258
W 0.5000 0.8258 0.3258
W 0.5000 0.3258 0.1742
Be 0.0000 0.3800 0.8800
Be 0.0000 0.8800 0.6200
Be 0.0000 0.6200 0.1200
Be 0.0000 0.1200 0.3800

Summary:
- Crystal system: tetragonal
- Formation enthalpy at 0 K: -0.196 eV per atom

Below is Be4ReW at its PBEsol-relaxed geometry, with properties calculated at the SCAN level.

Unit cell a=4.3846 b=4.3846 c=4.3846 alpha=60.00 beta=60.00 gamma=60.00
Element x y z (fractional)
Re 0.7500 0.7500 0.7500
W 0.0000 0.0000 0.0000
Be 0.3745 0.3745 0.3745
Be 0.3745 0.3745 0.8764
Be 0.8764 0.3745 0.3745
Be 0.3745 0.8764 0.3745

Summary:
- Crystal system: cubic
- Formation enthalpy at 0 K: -0.397 eV per atom

Below is BeReW at its PBEsol-relaxed geometry, with properties calculated at the SCAN level.

Unit cell a=3.8752 b=3.8752 c=3.8752 alpha=60.00 beta=60.00 gamma=60.00
Element x y z (fractional)
Re 0.0000 0.0000 0.0000
W 0.5000 0.5000 0.5000
Be 0.2500 0.2500 0.2500

Summary:
- Crystal system: cubic
- Formation enthalpy at 0 K: 0.647 eV per atom

Below is Be2ReW at its PBEsol-relaxed geometry, with properties calculated at the SCAN level.

Unit cell a=4.1293 b=4.1293 c=4.1293 alpha=60.00 beta=60.00 gamma=60.00
Element x y z (fractional)
Re 0.5000 0.5000 0.5000
W 0.2500 0.2500 0.2500
Be 0.0000 0.0000 0.0000
Be 0.7500 0.7500 0.7500

Summary:
- Crystal system: cubic
- E above lowest polymorph: 22.8 kJ/mol of atoms
- Formation enthalpy at 0 K: 0.018 eV per atom

Below is Be2ReW at its PBEsol-relaxed geometry, with properties calculated at the SCAN level.

Unit cell a=3.0482 b=3.0482 c=5.3510 alpha=90.00 beta=90.00 gamma=90.00
Element x y z (fractional)
Re 0.0000 0.0000 0.4916
W 0.5000 0.5000 0.7480
Be 0.0000 0.0000 0.0246
Be 0.5000 0.5000 0.2358

Summary:
- Crystal system: tetragonal
- E above lowest polymorph: 34.1 kJ/mol of atoms
- Formation enthalpy at 0 K: 0.135 eV per atom

Below is Be2ReW at its PBEsol-relaxed geometry, with properties calculated at the SCAN level.

Unit cell a=3.1381 b=3.1982 c=4.6461 alpha=90.00 beta=109.74 gamma=90.00
Element x y z (fractional)
Re 0.4731 0.0000 0.9462
W 0.7781 0.5000 0.5563
Be 0.1917 0.0000 0.3834
Be 0.0569 0.5000 0.1139

Summary:
- Crystal system: orthorhombic
- E above lowest polymorph: 0.0 kJ/mol of atoms
- Formation enthalpy at 0 K: -0.218 eV per atom

Below is Be2ReW at its PBEsol-relaxed geometry, with properties calculated at the SCAN level.

Unit cell a=3.2616 b=3.7855 c=3.7855 alpha=90.00 beta=90.00 gamma=90.00
Element x y z (fractional)
Re 0.5000 0.5000 0.5000
W 0.5000 0.0000 0.0000
Be 0.0000 0.0000 0.5000
Be 0.0000 0.5000 0.0000

Summary:
- Crystal system: tetragonal
- E above lowest polymorph: 37.9 kJ/mol of atoms
- Formation enthalpy at 0 K: 0.174 eV per atom

Below is YBe2Re at its PBEsol-relaxed geometry, with properties calculated at the SCAN level.

Unit cell a=3.4747 b=4.2260 c=4.8902 alpha=108.40 beta=90.00 gamma=114.27
Element x y z (fractional)
Y 0.0000 0.0000 0.5000
Re 0.5000 0.0000 0.0000
Be 0.7846 0.5693 0.9053
Be 0.2154 0.4307 0.0947

Summary:
- Crystal system: monoclinic
- Formation enthalpy at 0 K: -0.012 eV per atom

Below is Y2BeRe at its PBEsol-relaxed geometry, with properties calculated at the SCAN level.

Unit cell a=3.9887 b=3.9887 c=6.9980 alpha=73.44 beta=73.44 gamma=60.00
Element x y z (fractional)
Y 0.9628 0.9628 0.1115
Y 0.7867 0.7867 0.6399
Re 0.2078 0.2078 0.3766
Be 0.5426 0.5426 0.3721

Summary:
- Crystal system: trigonal
- Formation enthalpy at 0 K: 0.016 eV per atom

Below is YBeRe at its PBEsol-relaxed geometry, with properties calculated at the SCAN level.

Unit cell a=3.2204 b=3.2204 c=5.5993 alpha=90.00 beta=90.00 gamma=120.00
Element x y z (fractional)
Y 0.6667 0.3333 0.3224
Re 0.3333 0.6667 0.7243
Be 0.0000 0.0000 0.9533

Summary:
- Crystal system: trigonal
- Formation enthalpy at 0 K: 0.487 eV per atom

Below is Be2ZnRe at its PBEsol-relaxed geometry, with properties calculated at the SCAN level.

Unit cell a=2.5966 b=4.1422 c=4.5582 alpha=108.23 beta=106.55 gamma=90.00
Element x y z (fractional)
Re 0.4857 0.4412 0.9715
Zn 0.2641 0.8050 0.5283
Be 0.0162 0.9651 0.0324
Be 0.7339 0.2888 0.4678

Summary:
- Crystal system: monoclinic
- Formation enthalpy at 0 K: -0.021 eV per atom